# 1
Compound: PrEr4Tl4
Source: Alexandria
Functional: GGA-PBE
Structure: relaxed

The structure in CIF format:
```
data_PrEr4Tl4
_symmetry_space_group_name_H-M 'P 1'
_symmetry_Int_Tables_number 1
_symmetry_space_group_name_Hall 'P 1'
_cell_length_a 7.3600
_cell_length_b 7.3600
_cell_length_c 10.3770
_cell_angle_alpha 90.00
_cell_angle_beta 90.00
_cell_angle_gamma 90.00
loop_
_atom_site_label
_atom_site_type_symbol
_atom_site_fract_x
_atom_site_fract_y
_atom_site_fract_z
Er1 Er 0.7334 0.0000 0.5918
Er2 Er 0.5000 0.7666 0.0918
Er3 Er 0.2334 0.5000 0.9082
Er4 Er 0.7666 0.5000 0.9082
Er5 Er 0.0000 0.2666 0.4082
Er6 Er 0.5000 0.2334 0.0918
Er7 Er 0.0000 0.7334 0.4082
Er8 Er 0.2666 0.0000 0.5918
Tl1 Tl 0.2167 0.5000 0.2085
Tl2 Tl 0.0000 0.2833 0.7085
Tl3 Tl 0.2833 0.0000 0.2915
Tl4 Tl 0.0000 0.7167 0.7085
Tl5 Tl 0.7167 0.0000 0.2915
Tl6 Tl 0.5000 0.7833 0.7915
Tl7 Tl 0.5000 0.2167 0.7915
Tl8 Tl 0.7833 0.5000 0.2085
Pr1 Pr 0.5000 0.5000 0.5000
Pr2 Pr 0.0000 0.0000 0.0000
```

Calculated values
Formation enthalpy at 0 K = -0.108 eV/atom
Fermi-level density of states = 15.39 states/eV per cell
Symmetry = No. 137
Total magnetic moment = 0.00 Bohr magnetons per cell

---

# 2
Compound: Pm7DyY2
Source: Alexandria
Functional: GGA-PBE
Structure: relaxed

The structure in CIF format:
```
data_Pm7DyY2
_symmetry_space_group_name_H-M 'P 1'
_symmetry_Int_Tables_number 1
_symmetry_space_group_name_Hall 'P 1'
_cell_length_a 3.5208
_cell_length_b 10.3738
_cell_length_c 10.3738
_cell_angle_alpha 108.89
_cell_angle_beta 90.00
_cell_angle_gamma 90.00
loop_
_atom_site_label
_atom_site_type_symbol
_atom_site_fract_x
_atom_site_fract_y
_atom_site_fract_z
Pm1 Pm 0.5000 0.5000 0.5000
Pm2 Pm 0.5000 0.8733 0.6152
Pm3 Pm 0.0000 0.6754 0.3246
Pm4 Pm 0.5000 0.1267 0.3848
Pm5 Pm 0.5000 0.6152 0.8733
Pm6 Pm 0.0000 0.3246 0.6754
Pm7 Pm 0.5000 0.3848 0.1267
Dy1 Dy 0.0000 0.0000 0.0000
Y1 Y 0.5000 0.1680 0.8320
Y2 Y 0.5000 0.8320 0.1680
```

Calculated values
Formation enthalpy at 0 K = 0.399 eV/atom
Fermi-level density of states = 15.99 states/eV per cell
Symmetry = No. 65
Total magnetic moment = 0.00 Bohr magnetons per cell
Energy above the most stable polymorph in this dataset = 0 meV per atom

---

# 3
Compound: AlTc2Ni
Source: Alexandria
Functional: GGA-PBE
Structure: relaxed

The structure in CIF format:
```
data_AlTc2Ni
_symmetry_space_group_name_H-M 'P 1'
_symmetry_Int_Tables_number 1
_symmetry_space_group_name_Hall 'P 1'
_cell_length_a 4.5347
_cell_length_b 4.5347
_cell_length_c 4.5347
_cell_angle_alpha 129.44
_cell_angle_beta 129.44
_cell_angle_gamma 74.30
loop_
_atom_site_label
_atom_site_type_symbol
_atom_site_fract_x
_atom_site_fract_y
_atom_site_fract_z
Tc1 Tc 0.2500 0.7500 0.5000
Tc2 Tc 0.0000 0.0000 0.0000
Ni1 Ni 0.7500 0.2500 0.5000
Al1 Al 0.5000 0.5000 0.0000
```

Calculated values
Formation enthalpy at 0 K = -0.192 eV/atom
Fermi-level density of states = 5.10 states/eV per cell
Symmetry = No. 119
Total magnetic moment = 0.00 Bohr magnetons per cell

---

# 4
Compound: Pr7Hg3C2
Source: Alexandria
Functional: GGA-PBE
Structure: relaxed

The structure in CIF format:
```
data_Pr7Hg3C2
_symmetry_space_group_name_H-M 'P 1'
_symmetry_Int_Tables_number 1
_symmetry_space_group_name_Hall 'P 1'
_cell_length_a 5.1113
_cell_length_b 5.1540
_cell_length_c 12.7322
_cell_angle_alpha 101.68
_cell_angle_beta 90.00
_cell_angle_gamma 90.00
loop_
_atom_site_label
_atom_site_type_symbol
_atom_site_fract_x
_atom_site_fract_y
_atom_site_fract_z
Hg1 Hg 0.5000 0.5000 0.0000
Hg2 Hg 0.5000 0.6991 0.3983
Hg3 Hg 0.5000 0.3009 0.6017
Pr1 Pr 0.5000 0.8977 0.7954
Pr2 Pr 0.0000 0.0000 0.0000
Pr3 Pr 0.5000 0.1023 0.2046
Pr4 Pr 0.0000 0.7955 0.5909
Pr5 Pr 0.0000 0.2045 0.4091
Pr6 Pr 0.0000 0.4002 0.8005
Pr7 Pr 0.0000 0.5998 0.1995
C1 C 0.0000 0.8926 0.7852
C2 C 0.0000 0.1074 0.2148
```

Calculated values
Formation enthalpy at 0 K = -0.230 eV/atom
Fermi-level density of states = 12.50 states/eV per cell
Symmetry = No. 65
Total magnetic moment = 0.00 Bohr magnetons per cell

---

# 5
Compound: NiRuRh3
Source: Alexandria
Functional: GGA-PBE
Structure: relaxed

The structure in CIF format:
```
data_NiRuRh3
_symmetry_space_group_name_H-M 'P 1'
_symmetry_Int_Tables_number 1
_symmetry_space_group_name_Hall 'P 1'
_cell_length_a 4.4170
_cell_length_b 4.4170
_cell_length_c 4.4170
_cell_angle_alpha 90.00
_cell_angle_beta 90.00
_cell_angle_gamma 90.00
loop_
_atom_site_label
_atom_site_type_symbol
_atom_site_fract_x
_atom_site_fract_y
_atom_site_fract_z
Ru1 Ru 0.5000 0.5000 0.5000
Rh1 Rh 0.5000 0.0000 0.0000
Rh2 Rh 0.0000 0.5000 0.0000
Rh3 Rh 0.0000 0.0000 0.5000
Ni1 Ni 0.0000 0.0000 0.0000
```

Calculated values
Formation enthalpy at 0 K = 1.384 eV/atom
Fermi-level density of states = 10.63 states/eV per cell
Symmetry = No. 221
Total magnetic moment = 5.30 Bohr magnetons per cell
Energy above the most stable polymorph in this dataset = 1270 meV per atom

---

# 6
Compound: CaY2Ga
Source: Alexandria
Functional: GGA-PBE
Structure: relaxed

The structure in CIF format:
```
data_CaY2Ga
_symmetry_space_group_name_H-M 'P 1'
_symmetry_Int_Tables_number 1
_symmetry_space_group_name_Hall 'P 1'
_cell_length_a 4.8384
_cell_length_b 4.8384
_cell_length_c 7.0891
_cell_angle_alpha 70.05
_cell_angle_beta 70.05
_cell_angle_gamma 60.00
loop_
_atom_site_label
_atom_site_type_symbol
_atom_site_fract_x
_atom_site_fract_y
_atom_site_fract_z
Ca1 Ca 0.4963 0.4963 0.5112
Y1 Y 0.2800 0.2800 0.1601
Y2 Y 0.0535 0.0535 0.8395
Ga1 Ga 0.6703 0.6703 0.9892
```

Calculated values
Formation enthalpy at 0 K = -0.059 eV/atom
Fermi-level density of states = 5.03 states/eV per cell
Symmetry = No. 160
Total magnetic moment = 0.00 Bohr magnetons per cell

---

# 7
Compound: LiTh2P
Source: Alexandria
Functional: GGA-PBE
Structure: relaxed

The structure in CIF format:
```
data_LiTh2P
_symmetry_space_group_name_H-M 'P 1'
_symmetry_Int_Tables_number 1
_symmetry_space_group_name_Hall 'P 1'
_cell_length_a 3.7917
_cell_length_b 3.7917
_cell_length_c 10.6117
_cell_angle_alpha 79.71
_cell_angle_beta 79.71
_cell_angle_gamma 60.00
loop_
_atom_site_label
_atom_site_type_symbol
_atom_site_fract_x
_atom_site_fract_y
_atom_site_fract_z
Th1 Th 0.1108 0.1108 0.6677
Th2 Th 0.8892 0.8892 0.3323
Li1 Li 0.0000 0.0000 0.0000
P1 P 0.5000 0.5000 0.5000
```

Calculated values
Formation enthalpy at 0 K = -0.299 eV/atom
Fermi-level density of states = 5.17 states/eV per cell
Symmetry = No. 166
Total magnetic moment = 0.22 Bohr magnetons per cell

---

# 8
Compound: NbPt2W2
Source: Alexandria
Functional: GGA-PBE
Structure: relaxed

The structure in CIF format:
```
data_NbPt2W2
_symmetry_space_group_name_H-M 'P 1'
_symmetry_Int_Tables_number 1
_symmetry_space_group_name_Hall 'P 1'
_cell_length_a 7.8217
_cell_length_b 7.8217
_cell_length_c 2.7558
_cell_angle_alpha 90.00
_cell_angle_beta 90.00
_cell_angle_gamma 90.00
loop_
_atom_site_label
_atom_site_type_symbol
_atom_site_fract_x
_atom_site_fract_y
_atom_site_fract_z
W1 W 0.1210 0.3790 0.0000
W2 W 0.6210 0.1210 0.0000
W3 W 0.8790 0.6210 0.0000
W4 W 0.3790 0.8790 0.0000
Pt1 Pt 0.6736 0.8264 0.5000
Pt2 Pt 0.3264 0.1736 0.5000
Pt3 Pt 0.8264 0.3264 0.5000
Pt4 Pt 0.1736 0.6736 0.5000
Nb1 Nb 0.0000 0.0000 0.0000
Nb2 Nb 0.5000 0.5000 0.0000
```

Calculated values
Formation enthalpy at 0 K = -0.026 eV/atom
Fermi-level density of states = 7.57 states/eV per cell
Symmetry = No. 127
Total magnetic moment = 0.00 Bohr magnetons per cell
Energy above the most stable polymorph in this dataset = 0 meV per atom